RbDyPbBr6: optimized geometry, PBE.

* formation energy from raw total energies: -1.56 eV/atom

a = 7.6786 Å, b = 7.6786 Å, c = 14.8883 Å
α = 90.00°, β = 90.00°, γ = 120.00°
With the nearest neighbours (Å) after each atom.
Fractional positions:
Rb (0.0000, 0.0000, 0.0000)  6 Br 3.52
Rb (0.0000, 0.0000, 0.5000)  6 Br 3.52
Dy (0.3333, 0.6667, 0.2500)  6 Br 2.82
Dy (0.6667, 0.3333, 0.7500)  6 Br 2.82
Pb (0.3333, 0.6667, 0.7500)  6 Br 3.06
Pb (0.6667, 0.3333, 0.2500)  6 Br 3.06
Br (0.0235, 0.3825, 0.1392)  1 Dy 2.82, 1 Pb 3.06
Br (0.0235, 0.6411, 0.3608)  1 Dy 2.82, 1 Pb 3.06
Br (0.3589, 0.3825, 0.3608)  1 Dy 2.82, 1 Pb 3.06
Br (0.3589, 0.9765, 0.1392)  1 Dy 2.82, 1 Pb 3.06
Br (0.3825, 0.0235, 0.6392)  1 Dy 2.82, 1 Pb 3.06
Br (0.3825, 0.3589, 0.8608)  1 Dy 2.82, 1 Pb 3.06
Br (0.6175, 0.6411, 0.1392)  1 Dy 2.82, 1 Pb 3.06
Br (0.6175, 0.9765, 0.3608)  1 Dy 2.82, 1 Pb 3.06
Br (0.6411, 0.0235, 0.8608)  1 Dy 2.82, 1 Pb 3.06
Br (0.6411, 0.6175, 0.6392)  1 Dy 2.82, 1 Pb 3.06
Br (0.9765, 0.3589, 0.6392)  1 Dy 2.82, 1 Pb 3.06
Br (0.9765, 0.6175, 0.8608)  1 Dy 2.82, 1 Pb 3.06